LiV2O3F: relaxed, PBE+U.

abc: 4.9473 5.9081 10.2456
angles: 90.00 90.00 90.00
Site moments in Bohr magnetons follow the coordinates.
Element x y z (fractional)
Li 0.9582 0.2548 0.5911  0.00
Li 0.4582 0.7548 0.9089  0.00
Li 0.5418 0.2548 0.0911  0.00
Li 0.0418 0.7548 0.4089  0.00
V 0.5187 0.5065 0.5119  1.91
V 0.4813 0.0065 0.4881  1.91
V 0.0131 0.7374 0.7280  1.98
V 0.5131 0.2374 0.7720  1.98
V 0.9813 0.5065 0.0119  1.91
V 0.0187 0.0065 0.9881  1.91
V 0.4869 0.7374 0.2280  1.98
V 0.9869 0.2374 0.2720  1.98
O 0.2544 0.7520 0.5725  -0.04
O 0.3279 0.2539 0.5969  -0.03
O 0.7579 0.4959 0.6729  -0.03
O 0.2579 0.9959 0.8271  -0.03
O 0.8279 0.7539 0.9031  -0.03
O 0.7544 0.2520 0.9275  -0.04
O 0.2456 0.7520 0.0725  -0.04
O 0.1721 0.2539 0.0969  -0.03
O 0.7421 0.4959 0.1729  -0.03
O 0.2421 0.9959 0.3271  -0.03
O 0.6721 0.7539 0.4031  -0.03
O 0.7456 0.2520 0.4275  -0.04
F 0.7579 0.9991 0.6616  0.00
F 0.2579 0.4991 0.8384  0.00
F 0.7421 0.9991 0.1616  0.00
F 0.2421 0.4991 0.3384  0.00

E (eV per atom): -7.020
Relative energy among the computed polymorphs (eV per atom): 0.026